Computed, not measured: a geometry-optimized LaAg2GeSb structure at the PBE level of DFT.

Lattice parameters (Å, degrees): 5.1047 6.2744 5.1047 90.00 90.00 90.00
Fractional coordinates of all 5 atoms:
Sb  0.0000  0.0000  0.0000
La  0.0000  0.5000  0.0000
Ag  0.0000  0.0000  0.5000
Ag  0.5000  0.0000  0.0000
Ge  0.5000  0.5000  0.5000

Values from the calculation:
Relative energy among the computed polymorphs, meV/atom: 0.0
Formation energy (no corrections), meV/atom: 214.1
Space-group type: P4/mmm
E_tot, eV/atom: -3.660